1.
{"formula": "NaH4Pd4", "functional": "PBE", "state": "relaxed", "cell": [[5.1467, -1.8172, 0.0000], [5.1467, 1.8172, 0.0000], [-5.1414, 0.0000, 5.1482]], "species": ["Na", "H", "H", "H", "H", "Pd", "Pd", "Pd", "Pd"], "frac_coords": [[0.0000, 0.0000, 0.0000], [0.1919, 0.1919, 0.5332], [0.3423, 0.3423, 0.1491], [0.6577, 0.6577, 0.8509], [0.8081, 0.8081, 0.4668], [0.1777, 0.1777, 0.7926], [0.3851, 0.3851, 0.5630], [0.6149, 0.6149, 0.4370], [0.8223, 0.8223, 0.2074]], "energy_ev_per_atom": -4.11, "crystal_system": "monoclinic", "vol_a3_per_cell": 96.3, "magnetic_moment_mub_per_cell": 0.0}

=====

2.
{"formula": "Mo2WSe2S4", "functional": "PBE", "state": "relaxed", "cell": [[3.2341, 0.0000, 0.0000], [-1.6171, 2.8009, 0.0000], [0.0000, 0.0000, 22.4688]], "species": ["Mo", "Mo", "W", "Se", "Se", "S", "S", "S", "S"], "frac_coords": [[0.0000, 0.0000, 0.0000], [0.3333, 0.6667, 0.3186], [0.0000, 0.0000, 0.6426], [0.3333, 0.6667, 0.5662], [0.3333, 0.6667, 0.7190], [0.0000, 0.0000, 0.2496], [0.0000, 0.0000, 0.3877], [0.3333, 0.6667, 0.0690], [0.3333, 0.6667, 0.9310]], "polymorph_energy_kcal_per_mol_atoms": 0.53, "formation_energy_uncorrected_ev_per_atom": -0.760, "crystal_system": "trigonal", "vol_a3_per_cell": 203.5, "magnetic_moment_mub_per_cell": 0.0}

=====

3.
{"formula": "Pr2Dy4Y", "functional": "PBE", "state": "relaxed", "cell": [[3.2528, -6.0505, 0.0000], [3.2528, 6.0505, 0.0000], [-2.1703, 0.0000, 5.9917]], "species": ["Pr", "Pr", "Dy", "Dy", "Dy", "Dy", "Y"], "frac_coords": [[0.2201, 0.7799, 0.0000], [0.7799, 0.2201, 0.0000], [0.2998, 0.2998, 0.0923], [0.3129, 0.6882, 0.5001], [0.6882, 0.3129, 0.5001], [0.6993, 0.6993, 0.9091], [0.0015, 0.0015, 0.5008]], "polymorph_energy_kcal_per_mol_atoms": 4.08, "crystal_system": "monoclinic", "delta_e_f_ev_per_fu": 1.503, "vol_a3_per_cell": 235.8, "magnetic_moment_mub_per_cell": 0.0}

=====

4.
{"formula": "LiDyAg6", "functional": "PBE", "state": "relaxed", "cell": [[4.2740, -2.3055, 0.0000], [4.2740, 2.3055, 0.0000], [-3.7065, 0.0000, 7.7016]], "species": ["Li", "Dy", "Ag", "Ag", "Ag", "Ag", "Ag", "Ag"], "frac_coords": [[0.0000, 0.0000, 0.0000], [0.5000, 0.5000, 0.5000], [0.1042, 0.1042, 0.3401], [0.2553, 0.2553, 0.7411], [0.3622, 0.3622, 0.1080], [0.6378, 0.6378, 0.8920], [0.7447, 0.7447, 0.2589], [0.8958, 0.8958, 0.6599]], "polymorph_energy_kcal_per_mol_atoms": 0.00, "crystal_system": "monoclinic", "delta_e_f_ev_per_fu": -1.333, "vol_a3_per_cell": 151.8, "magnetic_moment_mub_per_cell": 0.0}

=====

5.
{"formula": "CaLa2Cr", "functional": "PBE", "state": "relaxed", "cell": [[3.7603, 0.0000, 0.0000], [0.0000, 3.7603, 0.0000], [0.0000, 0.0000, 9.1133]], "species": ["Ca", "La", "La", "Cr"], "frac_coords": [[0.0000, 0.0000, 0.0000], [0.0000, 0.0000, 0.4014], [0.5000, 0.5000, 0.6821], [0.5000, 0.5000, 0.2131]], "polymorph_energy_kcal_per_mol_atoms": 1.30, "crystal_system": "tetragonal", "delta_e_f_ev_per_fu": 1.283, "vol_a3_per_cell": 128.9, "magnetic_moment_mub_per_cell": 3.7}

=====

6.
{"formula": "K3NpI6", "functional": "PBE", "state": "relaxed", "cell": [[8.3711, 0.0000, 0.0000], [0.0000, 9.1541, 0.0000], [-8.3220, 0.0000, 12.3484]], "species": ["K", "K", "K", "K", "K", "K", "Np", "Np", "I", "I", "I", "I", "I", "I", "I", "I", "I", "I", "I", "I"], "frac_coords": [[0.0000, 0.0000, 0.0000], [0.0000, 0.5000, 0.5000], [0.2103, 0.0927, 0.7491], [0.2103, 0.4073, 0.2491], [0.7897, 0.5927, 0.7509], [0.7897, 0.9073, 0.2509], [0.5000, 0.0000, 0.5000], [0.5000, 0.5000, 0.0000], [0.1308, 0.1771, 0.4318], [0.1308, 0.3229, 0.9318], [0.2670, 0.7075, 0.4280], [0.2670, 0.7925, 0.9280], [0.4075, 0.0543, 0.2678], [0.4075, 0.4457, 0.7678], [0.5925, 0.5543, 0.2322], [0.5925, 0.9457, 0.7322], [0.7330, 0.2075, 0.0720], [0.7330, 0.2925, 0.5720], [0.8692, 0.6771, 0.0682], [0.8692, 0.8229, 0.5682]], "formation_energy_uncorrected_ev_per_atom": -1.239, "crystal_system": "monoclinic", "vol_a3_per_cell": 946.3, "magnetic_moment_mub_per_cell": 8.0}